SrAsPt: single point on PBEsol structure, SCAN.

Computed properties:
As for the formation energy: -1215 meV per atom. As for the magnetic moment: 0.0 μB/f.u.

Structure (POSCAR):
```
SrAsPt
1.0
4.2395 0.0000 0.0000
-2.1197 3.6715 0.0000
0.0000 0.0000 8.9137
Sr As Pt
2 2 2
Direct
0.0000 0.0000 0.0000
0.0000 0.0000 0.5000
0.3333 0.6667 0.2500
0.6667 0.3333 0.7500
0.3333 0.6667 0.7500
0.6667 0.3333 0.2500
```